Computed, not measured: AlTlBi after structural relaxation at the PBE-GGA level of DFT.

POSCAR file:
```
AlTlBi
1.0
-2.697 -4.066 1.315
-1.479 -3.300 -3.530
2.095 -4.595 -0.200
Tl Bi Al
1 1 1
direct
0.000 0.000 0.000 Tl
0.500 0.500 0.500 Bi
0.250 0.250 0.250 Al
```

Output
Space group: No. 216
Distance to the lowest polymorph of the same formula (meV per atom): 34
DFT formation energy (meV per atom): 145.8
Magnetic moment (μB per cell): 0.00